Record 1
A relaxed structure of MnHgH3. Source: the Alexandria database, functional GGA-PBE.

Lattice parameters (Å, degrees): 3.649 3.649 3.649 90.00 90.00 90.00
Site moments in Bohr magnetons follow the coordinates.
Positions (direct):
H1 0.000 0.000 0.500  -0.04
H2 0.500 0.000 0.000  -0.04
Hg1 0.500 0.500 0.500  0.04
Mn1 0.000 0.000 0.000  3.33
H3 0.000 0.500 0.000  -0.04

Computed properties:
Excess energy over the best structure of this formula in the dataset: 0.00 eV/f.u.

=====

Record 2
A relaxed structure of MnHg2H2. Source: the Alexandria database, functional GGA-PBE.

Lattice parameters (Å, degrees): 5.859 5.859 4.254 90.00 90.00 90.00
Site moments in Bohr magnetons follow the coordinates.
Positions (direct):
Hg1 0.751 0.749 0.500  -0.02
Mn1 0.000 0.000 0.000  3.72
H1 0.749 0.249 0.000  -0.03
H2 0.249 0.251 0.000  -0.03
Hg2 0.749 0.249 0.500  -0.02
H3 0.751 0.749 0.000  -0.03
H4 0.251 0.751 0.000  -0.03
Hg3 0.249 0.251 0.500  -0.02
Hg4 0.251 0.751 0.500  -0.02
Mn2 0.500 0.500 0.000  3.72

Computed properties:
E: -2.91 eV per atom

=====

Record 3
A relaxed structure of MnHgH2. Source: the Alexandria database, functional GGA-PBE.

Lattice parameters (Å, degrees): 3.954 3.954 3.954 60.00 60.00 60.00
Site moments in Bohr magnetons follow the coordinates.
Positions (direct):
H1 0.250 0.250 0.250  -0.01
Hg1 0.500 0.500 0.500  -0.07
Mn1 0.000 0.000 0.000  3.54
H2 0.750 0.750 0.750  -0.01

Computed properties:
Excess energy over the best structure of this formula in the dataset: 1.67 eV/f.u.

=====

Record 4
A relaxed structure of MnHgMo2H. Source: the Alexandria database, functional GGA-PBE.

Lattice parameters (Å, degrees): 4.788 3.098 4.788 90.00 90.00 90.00
Site moments in Bohr magnetons follow the coordinates.
Positions (direct):
Mn1 0.000 0.000 0.000  0.06
Mo1 0.500 0.000 0.000  -0.01
H1 0.000 0.500 0.000  0.00
Mo2 0.000 0.000 0.500  -0.01
Hg1 0.500 0.500 0.500  0.00

Computed properties:
E: -5.98 eV per atom

=====

Record 5
A relaxed structure of MnHgMoH2. Source: the Alexandria database, functional GGA-PBE.

Lattice parameters (Å, degrees): 3.546 3.546 5.862 90.00 90.00 90.00
Site moments in Bohr magnetons follow the coordinates.
Positions (direct):
Mn1 0.500 0.500 0.500  2.96
Hg1 0.000 0.000 0.000  -0.02
H1 0.500 0.000 0.000  -0.01
Mo1 0.000 0.000 0.500  -1.42
H2 0.000 0.500 0.000  -0.01

Computed properties:
Excess energy over the best structure of this formula in the dataset: 0.00 eV/f.u.

=====

Record 6
A relaxed structure of MnHgMoH2. Source: the Alexandria database, functional GGA-PBE.

Lattice parameters (Å, degrees): 3.470 5.513 3.470 90.00 90.00 90.00
Site moments in Bohr magnetons follow the coordinates.
Positions (direct):
H1 0.500 0.000 0.000  0.00
Mn1 0.000 0.500 0.000  0.68
Mo1 0.500 0.500 0.500  0.24
H2 0.000 0.000 0.500  0.00
Hg1 0.000 0.000 0.000  0.01

Computed properties:
Excess energy over the best structure of this formula in the dataset: 0.57 eV/f.u.

=====

Record 7
A relaxed structure of MnNb2HgH. Source: the Alexandria database, functional GGA-PBE.

Lattice parameters (Å, degrees): 4.105 4.105 4.286 90.00 90.00 90.00
Site moments in Bohr magnetons follow the coordinates.
Positions (direct):
Mn1 0.000 0.000 0.500  3.16
Hg1 0.500 0.500 0.500  -0.02
Nb1 0.500 0.000 0.000  -0.25
H1 0.000 0.000 0.000  0.00
Nb2 0.000 0.500 0.000  -0.25

Computed properties:
E: -6.51 eV per atom

=====

Record 8
A relaxed structure of MnHgHPd2. Source: the Alexandria database, functional GGA-PBE.

Lattice parameters (Å, degrees): 4.089 4.089 4.088 90.00 90.00 90.00
Site moments in Bohr magnetons follow the coordinates.
Positions (direct):
H1 0.000 0.000 0.000  -0.02
Pd1 0.000 0.500 0.000  0.13
Mn1 0.000 0.000 0.500  3.90
Pd2 0.500 0.000 0.000  0.13
Hg1 0.500 0.500 0.500  -0.01

Computed properties:
E: -4.75 eV per atom

=====

Record 9
A relaxed structure of MnHgHPt2. Source: the Alexandria database, functional GGA-PBE.

Lattice parameters (Å, degrees): 4.073 4.073 4.176 90.00 90.00 90.00
Site moments in Bohr magnetons follow the coordinates.
Positions (direct):
Pt1 0.500 0.000 0.000  0.15
Mn1 0.000 0.000 0.500  3.94
Hg1 0.500 0.500 0.500  -0.01
H1 0.000 0.000 0.000  -0.01
Pt2 0.000 0.500 0.000  0.15

Computed properties:
Excess energy over the best structure of this formula in the dataset: 0.00 eV/f.u.

=====

Record 10
A relaxed structure of MnHgHPt2. Source: the Alexandria database, functional GGA-PBE.

Lattice parameters (Å, degrees): 5.021 5.021 3.062 90.00 90.00 90.00
Site moments in Bohr magnetons follow the coordinates.
Positions (direct):
Pt1 0.000 0.500 0.000  0.17
Pt2 0.500 0.000 0.000  0.17
Mn1 0.000 0.000 0.000  3.45
H1 0.000 0.000 0.500  -0.04
Hg1 0.500 0.500 0.500  -0.01

Computed properties:
Excess energy over the best structure of this formula in the dataset: 1.83 eV/f.u.

=====

Record 11
A relaxed structure of MnHgH2S. Source: the Alexandria database, functional GGA-PBE.

Lattice parameters (Å, degrees): 3.652 6.179 3.652 90.00 90.00 90.00
Site moments in Bohr magnetons follow the coordinates.
Positions (direct):
Mn1 0.000 0.000 0.000  4.12
H1 0.000 0.000 0.500  -0.04
Hg1 0.000 0.500 0.000  -0.01
S1 0.500 0.500 0.500  0.04
H2 0.500 0.000 0.000  -0.03

Computed properties:
E: -3.71 eV per atom

=====

Record 12
A relaxed structure of Ta2MnHgH. Source: the Alexandria database, functional GGA-PBE.

Lattice parameters (Å, degrees): 5.098 4.721 5.098 90.00 90.00 90.00
Site moments in Bohr magnetons follow the coordinates.
Positions (direct):
Hg1 0.000 0.000 0.000  0.07
Ta1 0.000 0.000 0.500  0.46
H1 0.500 0.500 0.500  -0.07
Mn1 0.000 0.500 0.000  0.10
Ta2 0.500 0.000 0.000  0.59

Computed properties:
E: -4.38 eV per atom

=====

Record 13
A relaxed structure of Ti2MnHgH. Source: the Alexandria database, functional GGA-PBE.

Lattice parameters (Å, degrees): 4.184 4.184 3.856 90.00 90.00 90.00
Site moments in Bohr magnetons follow the coordinates.
Positions (direct):
Ti1 0.000 0.500 0.000  -0.55
Hg1 0.500 0.500 0.500  -0.02
H1 0.000 0.000 0.000  0.00
Ti2 0.500 0.000 0.000  -0.55
Mn1 0.000 0.000 0.500  2.59

Computed properties:
E: -5.82 eV per atom

=====

Record 14
A relaxed structure of Y2MnHgH. Source: the Alexandria database, functional GGA-PBE.

Lattice parameters (Å, degrees): 5.067 5.067 3.765 90.00 90.00 90.00
Site moments in Bohr magnetons follow the coordinates.
Positions (direct):
Y1 0.000 0.500 0.000  -0.18
H1 0.000 0.000 0.000  -0.01
Y2 0.500 0.000 0.000  -0.18
Hg1 0.500 0.500 0.500  -0.01
Mn1 0.000 0.000 0.500  3.20

Computed properties:
E: -5.37 eV per atom

=====

Record 15
A relaxed structure of YMn2HgH. Source: the Alexandria database, functional GGA-PBE.

Lattice parameters (Å, degrees): 5.486 5.920 5.486 90.00 90.00 90.00
Site moments in Bohr magnetons follow the coordinates.
Positions (direct):
Y1 0.000 0.000 0.000  -0.57
Mn1 0.500 0.000 0.000  4.17
H1 0.500 0.500 0.500  0.25
Mn2 0.000 0.000 0.500  3.72
Hg1 0.000 0.500 0.000  -0.04

Computed properties:
E: -4.02 eV per atom

=====

Record 16
A relaxed structure of ZrMn2HgH. Source: the Alexandria database, functional GGA-PBE.

Lattice parameters (Å, degrees): 5.169 3.427 5.169 90.00 90.00 90.00
Site moments in Bohr magnetons follow the coordinates.
Positions (direct):
H1 0.000 0.500 0.000  0.02
Mn1 0.000 0.000 0.500  3.61
Mn2 0.500 0.000 0.000  3.70
Hg1 0.000 0.000 0.000  0.02
Zr1 0.500 0.500 0.500  -0.88

Computed properties:
E: -5.26 eV per atom

=====

Record 17
A relaxed structure of Zr2MnHgH. Source: the Alexandria database, functional GGA-PBE.

Lattice parameters (Å, degrees): 4.432 4.432 4.122 90.00 90.00 90.00
Site moments in Bohr magnetons follow the coordinates.
Positions (direct):
Mn1 0.000 0.000 0.500  3.21
Hg1 0.500 0.500 0.500  -0.02
Zr1 0.000 0.500 0.000  -0.15
H1 0.000 0.000 0.000  -0.01
Zr2 0.500 0.000 0.000  -0.15

Computed properties:
E: -6.11 eV per atom

=====

Record 18
A relaxed structure of HgMo2H. Source: the Alexandria database, functional GGA-PBE.

Lattice parameters (Å, degrees): 4.409 4.409 4.409 60.00 60.00 60.00
Positions (direct):
Mo1 0.250 0.250 0.250
H1 0.000 0.000 0.000
Hg1 0.500 0.500 0.500
Mo2 0.750 0.750 0.750

Computed properties:
Excess energy over the best structure of this formula in the dataset: 2.25 eV/f.u.

=====

Record 19
A relaxed structure of HgMoH2. Source: the Alexandria database, functional GGA-PBE.

Lattice parameters (Å, degrees): 5.560 5.560 4.885 55.31 55.31 90.00
Positions (direct):
H1 0.218 0.625 0.250
H2 0.375 0.468 0.750
H3 0.532 0.125 0.250
H4 0.875 0.782 0.750
Hg1 0.750 0.250 0.500
Mo1 0.500 0.500 0.000
Hg2 0.000 0.000 0.000
Mo2 0.250 0.750 0.500

Computed properties:
Excess energy over the best structure of this formula in the dataset: 0.00 eV/f.u.

=====

Record 20
A relaxed structure of HgMoH3. Source: the Alexandria database, functional GGA-PBE.

Lattice parameters (Å, degrees): 3.641 3.641 3.641 90.00 90.00 90.00
Positions (direct):
H1 0.000 0.000 0.500
H2 0.500 0.000 0.000
Mo1 0.000 0.000 0.000
H3 0.000 0.500 0.000
Hg1 0.500 0.500 0.500

Computed properties:
Excess energy over the best structure of this formula in the dataset: 0.00 eV/f.u.

=====

| no. | density of states at the Fermi level (states/eV per cell) |
| --- | --- |
| 1 | 2.12 |
| 2 | 4.48 |
| 3 | 1.27 |
| 4 | 3.91 |
| 5 | 2.18 |
| 6 | 3.44 |
| 7 | 4.42 |
| 8 | 1.96 |
| 9 | 1.89 |
| 10 | 1.78 |
| 11 | 1.28 |
| 12 | 8.83 |
| 13 | 5.61 |
| 14 | 4.33 |
| 15 | 4.80 |
| 16 | 4.15 |
| 17 | 4.41 |
| 18 | 6.47 |
| 19 | 0.53 |
| 20 | 2.48 |